[1]
LiAcP2O8: optimized geometry, PBE-GGA.

Crystal system: tetragonal
Formation energy (no corrections) (eV per formula unit): -26.93
M_tot (μB per formula unit): 2.04
Symmetry: No. 119

extended XYZ file:
```
12
Lattice="-3.631 3.631 3.256 3.631 -3.631 3.256 3.631 3.631 -3.256" Properties=species:S:1:pos:R:3 pbc="T T T"
Li 0.000 0.000 0.000
Ac 0.000 3.631 1.628
P 3.631 0.000 1.628
P 0.000 0.000 3.256
O 2.377 0.000 0.711
O 4.885 0.000 0.711
O 3.631 2.409 -0.945
O 3.631 -1.254 2.545
O 0.000 1.222 2.311
O 3.631 1.254 2.545
O 2.409 3.631 0.945
O 1.222 0.000 4.200
```

---

[2]
BaLa3Ru: optimized geometry, PBE-GGA.

Crystal system: monoclinic
Energy above the lowest structure with this stoichiometry (meV per atom): 21.4
M_tot (μB per formula unit): 0.19
Symmetry: No. 6

extended XYZ file:
```
10
Lattice="8.413 0.000 0.000 0.000 4.235 0.000 -4.202 0.000 10.973" Properties=species:S:1:pos:R:3 pbc="T T T"
Ba 0.000 0.000 0.000
Ba 0.002 0.000 5.075
La -2.300 2.118 7.930
La 2.367 2.118 2.292
La 0.004 0.000 10.394
La 2.312 2.118 7.931
La 4.210 0.000 5.136
La 6.043 2.118 2.291
Ru 4.204 0.000 2.281
Ru 4.214 0.000 7.744
```

---

[3]
FeAgW: optimized geometry, PBE-GGA.

Crystal system: tetragonal
Energy above the lowest structure with this stoichiometry (meV per atom): 68.4
M_tot (μB per formula unit): 2.50
Symmetry: No. 107

extended XYZ file:
```
3
Lattice="-1.345 1.345 6.316 1.345 -1.345 6.316 1.345 1.345 -6.316" Properties=species:S:1:pos:R:3 pbc="T T T"
Fe 0.000 0.000 0.000
Ag 0.000 0.000 8.396
W 0.000 0.000 4.368
```

---

[4]
Pu2BrO6: optimized geometry, PBE-GGA.

Crystal system: triclinic
Formation energy (no corrections) (eV per formula unit): -18.06
M_tot (μB per formula unit): 3.00
Symmetry: No. 2

extended XYZ file:
```
9
Lattice="4.651 0.000 0.000 -0.581 5.873 0.000 -0.752 -0.098 6.473" Properties=species:S:1:pos:R:3 pbc="T T T"
Pu 0.091 1.474 0.846
Pu 3.228 4.301 5.627
Br -0.666 2.887 3.236
O -0.025 0.401 5.639
O 0.754 3.664 0.099
O 1.468 0.905 1.823
O 1.851 4.870 4.649
O 2.564 2.111 6.374
O 3.343 5.374 0.833
```

---

[5]
Th6As2Se3S: optimized geometry, PBE-GGA.

Crystal system: monoclinic
Formation energy (no corrections) (eV per formula unit): -18.66
M_tot (μB per formula unit): 0.00
Symmetry: No. 12

extended XYZ file:
```
12
Lattice="9.163 -2.115 0.000 9.163 2.115 0.000 -1.952 0.000 8.093" Properties=species:S:1:pos:R:3 pbc="T T T"
Th -0.496 0.000 2.136
Th 4.276 0.000 7.434
Th 5.399 0.000 3.377
Th 10.975 0.000 4.717
Th 12.098 0.000 0.660
Th 16.870 0.000 5.957
As 1.393 0.000 6.736
As 14.981 0.000 1.357
Se 2.466 0.000 2.709
Se 9.163 0.000 0.000
Se 13.908 0.000 5.384
S 8.187 0.000 4.047
```

---

[6]
LiCaF2: optimized geometry, PBE-GGA.

Crystal system: tetragonal
Formation energy (no corrections) (eV per formula unit): -10.44
Energy above the lowest structure with this stoichiometry (meV per atom): 206.2
M_tot (μB per formula unit): 0.00
Symmetry: No. 122

extended XYZ file:
```
8
Lattice="-2.553 2.553 5.264 2.553 -2.553 5.264 2.553 2.553 -5.264" Properties=species:S:1:pos:R:3 pbc="T T T"
Li 0.000 0.000 0.000
Li 0.000 2.553 2.632
Ca 2.553 0.000 2.632
Ca 0.000 0.000 5.264
F 3.830 1.103 -1.316
F 1.103 1.277 1.316
F -1.277 1.450 3.948
F 1.450 1.277 6.580
```